[1]
Entry from Alexandria: a relaxed structure of Zr2Se2O (PBE).

extended XYZ file:
```
10
Lattice="6.508 0.000 0.000 0.000 6.508 0.000 0.000 0.000 4.198" Properties=species:S:1:pos:R:3 pbc="T T T"
Zr 1.097 2.157 0.000
Zr 2.157 5.411 0.000
Zr 4.351 1.097 0.000
Zr 5.411 4.351 0.000
Se 1.012 4.266 2.099
Se 2.242 1.012 2.099
Se 4.266 5.496 2.099
Se 5.496 2.242 2.099
O 0.000 0.000 0.000
O 3.254 3.254 0.000
```

Values from the calculation:
Polymorph energy (0 for the lowest one), eV per atom: 0.000
Calculated volume, A^3/atom: 17.8
Density of states at the Fermi level, states/eV/atom: 0.130
SG: No. 127
Formation energy without anion corrections, eV/f.u.: -6.905



[2]
Entry from Alexandria: a relaxed structure of SiO2 (PBE).

extended XYZ file:
```
12
Lattice="4.973 0.000 0.000 1.931 4.720 0.000 1.995 -0.075 7.413" Properties=species:S:1:pos:R:3 pbc="T T T"
Si 1.971 1.973 0.489
Si 2.005 0.230 3.144
Si 6.894 4.416 4.269
Si 6.928 2.673 6.924
O 2.939 3.599 3.210
O 2.985 1.381 6.637
O 2.075 0.885 1.674
O 3.484 -0.037 3.707
O 3.452 2.360 0.000
O 6.824 3.760 5.739
O 5.913 3.264 0.776
O 5.960 1.047 4.204
```

Values from the calculation:
Calculated volume, A^3/atom: 14.5
Density of states at the Fermi level, states/eV/atom: 0.000
SG: No. 2
Formation energy without anion corrections, eV/f.u.: -7.744



[3]
Entry from Alexandria: a relaxed structure of SiO2 (PBE).

extended XYZ file:
```
18
Lattice="7.356 0.000 0.000 -3.678 6.371 0.000 0.000 0.000 7.069" Properties=species:S:1:pos:R:3 pbc="T T T"
Si 0.000 2.971 1.767
Si -1.106 4.886 4.124
Si 2.573 1.485 2.946
Si 1.106 4.886 6.480
Si 4.784 1.485 0.589
Si 3.678 3.400 5.302
O -1.164 2.016 1.178
O -2.514 4.354 4.713
O -0.600 3.901 2.946
O 2.328 0.000 3.535
O 1.164 2.016 2.356
O 0.600 3.901 0.589
O 0.000 4.940 5.302
O 3.678 1.431 1.767
O 3.078 2.470 4.124
O 5.028 0.000 0.000
O 2.514 4.354 5.891
O 4.278 2.470 6.480
```

Values from the calculation:
Calculated volume, A^3/atom: 18.4
Density of states at the Fermi level, states/eV/atom: 0.000
SG: No. 179
Formation energy without anion corrections, eV/f.u.: -8.375



[4]
Entry from Alexandria: a relaxed structure of SiO2 (PBE).

extended XYZ file:
```
24
Lattice="4.529 0.000 0.000 0.000 8.207 0.000 0.000 0.000 9.489" Properties=species:S:1:pos:R:3 pbc="T T T"
Si 0.219 0.682 1.438
Si 0.219 3.421 3.307
Si 2.046 0.682 3.307
Si 2.046 3.421 1.438
Si 2.483 4.786 8.051
Si 2.483 7.524 6.182
Si 4.310 4.786 6.182
Si 4.310 7.524 8.051
O 0.000 0.000 0.000
O 0.000 4.103 4.745
O 1.132 2.052 1.084
O 1.132 2.052 3.660
O 1.132 4.399 2.372
O 1.132 4.919 7.117
O 1.132 7.391 7.117
O 1.132 7.911 2.372
O 2.264 0.000 4.745
O 2.264 4.103 0.000
O 3.397 0.296 7.117
O 3.397 0.816 2.372
O 3.397 3.287 2.372
O 3.397 3.807 7.117
O 3.397 6.155 5.829
O 3.397 6.155 8.405
```

Values from the calculation:
Calculated volume, A^3/atom: 14.7
Density of states at the Fermi level, states/eV/atom: 0.000
SG: No. 48
Formation energy without anion corrections, eV/f.u.: -7.657